VASP calculation (GGA-PBE) on a relaxed structure of Te2PbCl.

```
Te2PbCl
1.0
2.942 -5.992 0.000
2.942 5.992 0.000
0.000 0.000 3.391
Te Pb Cl
2 1 1
direct
0.000 0.500 0.000
0.500 0.000 0.000
0.000 0.000 0.500
0.500 0.500 0.500
```

The value obtained for the calculated volume is 119.6 Å³ per cell. Its total energy is -3.128 eV/atom. The value obtained for the spin magnetization is 0.0000 μB per atom. As for the formation energy (no corrections): -168.0 meV/atom. For the calculated density, the calculation gives 6.91 g cm⁻³. Its polymorph energy (0 for the lowest one) is 0.229 eV/atom. As for the space-group type: Cmmm, No. 65.